# 1
DFT (PBE) results for crystalline Sm2Si4Mo3 at its relaxed geometry.

a = 6.9297 Å, b = 6.9878 Å, c = 6.8425 Å
α = 90.00°, β = 108.99°, γ = 90.00°
Positions (direct):
Sm1 0.1892 0.1683 0.0614
Sm2 0.1892 0.3317 0.5614
Sm3 0.8108 0.6683 0.4386
Sm4 0.8108 0.8317 0.9386
Si1 0.0931 0.5475 0.8719
Si2 0.0931 0.9525 0.3719
Si3 0.4935 0.6321 0.6278
Si4 0.4935 0.8679 0.1278
Si5 0.5065 0.1321 0.8722
Si6 0.5065 0.3679 0.3722
Si7 0.9069 0.0475 0.6281
Si8 0.9069 0.4525 0.1281
Mo1 0.2530 0.6616 0.2496
Mo2 0.2530 0.8384 0.7496
Mo3 0.5000 0.0000 0.5000
Mo4 0.5000 0.5000 0.0000
Mo5 0.7470 0.1616 0.2504
Mo6 0.7470 0.3384 0.7504

Raw formation energy ... -0.614 eV/atom
Space-group type ... No. 14

# 2
DFT (PBE) results for crystalline Pm2ZnAu at its relaxed geometry.

a = 5.2074 Å, b = 5.2074 Å, c = 5.2074 Å
α = 60.00°, β = 60.00°, γ = 60.00°
Positions (direct):
Pm1 0.2500 0.2500 0.2500
Pm2 0.7500 0.7500 0.7500
Zn1 0.0000 0.0000 0.0000
Au1 0.5000 0.5000 0.5000

Formation energy from the elements ... -534.7 meV/atom
Energy above the lowest structure with this stoichiometry ... 0.09 eV per formula unit
Space-group type ... No. 225

# 3
DFT (PBE) results for crystalline La2CePb at its relaxed geometry.

a = 5.0401 Å, b = 5.0401 Å, c = 4.9438 Å
α = 90.00°, β = 90.00°, γ = 90.00°
Positions (direct):
La1 0.0000 0.5000 0.0000
La2 0.5000 0.0000 0.0000
Ce1 0.0000 0.0000 0.5000
Pb1 0.5000 0.5000 0.5000

Formation energy from the elements ... -313.8 meV/atom
Energy above the lowest structure with this stoichiometry ... 0.00 eV per formula unit
Space-group type ... No. 123

# 4
DFT (PBE) results for crystalline SrTb5Tl6 at its relaxed geometry.

a = 9.4438 Å, b = 9.4438 Å, c = 5.4535 Å
α = 106.72°, β = 106.72°, γ = 120.27°
Positions (direct):
Sr1 0.0000 0.0000 0.0000
Tb1 0.1615 0.8385 0.5000
Tb2 0.3310 0.6690 0.0000
Tb3 0.5000 0.5000 0.5000
Tb4 0.6690 0.3310 0.0000
Tb5 0.8385 0.1615 0.5000
Tl1 0.0861 0.4265 0.2562
Tl2 0.2637 0.2637 0.7633
Tl3 0.4265 0.0861 0.2562
Tl4 0.5735 0.9139 0.7438
Tl5 0.7363 0.7363 0.2367
Tl6 0.9139 0.5735 0.7438

Formation energy from the elements ... -341.0 meV/atom
Space-group type ... No. 12

# 5
DFT (PBE) results for crystalline NaGa5Ag7 at its relaxed geometry.

a = 7.1389 Å, b = 7.1389 Å, c = 7.1389 Å
α = 134.21°, β = 99.11°, γ = 98.30°
Positions (direct):
Na1 0.0000 0.0000 0.0000
Ga1 0.4939 0.4968 0.5026
Ga2 0.4939 0.9913 0.9971
Ga3 0.7762 0.2762 0.5000
Ga4 0.9943 0.4968 0.0029
Ga5 0.9943 0.9913 0.4974
Ag1 0.2051 0.4923 0.7128
Ag2 0.2207 0.7207 0.5000
Ag3 0.3397 0.9978 0.3419
Ag4 0.3444 0.3444 0.0000
Ag5 0.6559 0.9978 0.6581
Ag6 0.6595 0.6595 0.0000
Ag7 0.7795 0.4923 0.2872

Formation energy from the elements ... -21.2 meV/atom
Space-group type ... No. 44

# 6
DFT (PBE) results for crystalline Rb3Pr3PuS8 at its relaxed geometry.

a = 9.2010 Å, b = 9.2010 Å, c = 9.2010 Å
α = 54.29°, β = 54.29°, γ = 54.29°
Positions (direct):
Rb1 0.0000 0.5000 0.5000
Rb2 0.5000 0.0000 0.5000
Rb3 0.5000 0.5000 0.0000
Pr1 0.0000 0.0000 0.5000
Pr2 0.0000 0.5000 0.0000
Pr3 0.5000 0.0000 0.0000
Pu1 0.5000 0.5000 0.5000
S1 0.2326 0.2326 0.2326
S2 0.2465 0.7203 0.7203
S3 0.2797 0.2797 0.7535
S4 0.2797 0.7535 0.2797
S5 0.7203 0.2465 0.7203
S6 0.7203 0.7203 0.2465
S7 0.7535 0.2797 0.2797
S8 0.7674 0.7674 0.7674

Raw formation energy ... -1.730 eV/atom
Space-group type ... No. 166

# 7
DFT (PBE) results for crystalline Y2SbOs at its relaxed geometry.

a = 3.3676 Å, b = 3.3676 Å, c = 8.4722 Å
α = 90.00°, β = 90.00°, γ = 90.00°
Positions (direct):
Y1 0.0000 0.0000 0.0000
Y2 0.5000 0.5000 0.3462
Sb1 0.5000 0.5000 0.7377
Os1 0.0000 0.0000 0.5686

Raw formation energy ... -0.098 eV/atom
Space-group type ... No. 99

# 8
DFT (PBE) results for crystalline MgBH3 at its relaxed geometry.

a = 3.6829 Å, b = 3.6829 Å, c = 3.6829 Å
α = 90.00°, β = 90.00°, γ = 90.00°
Positions (direct):
Mg1 0.0000 0.0000 0.0000
B1 0.5000 0.5000 0.5000
H1 0.0000 0.0000 0.5000
H2 0.0000 0.5000 0.0000
H3 0.5000 0.0000 0.0000

Energy above the lowest structure with this stoichiometry ... 5.90 eV per formula unit
Space-group type ... No. 221

# 9
DFT (PBE) results for crystalline Dy4In3Hg at its relaxed geometry.

a = 3.7528 Å, b = 3.7528 Å, c = 15.0062 Å
α = 90.00°, β = 90.00°, γ = 90.00°
Positions (direct):
Dy1 0.0000 0.0000 0.1212
Dy2 0.0000 0.0000 0.3740
Dy3 0.0000 0.0000 0.6260
Dy4 0.0000 0.0000 0.8788
In1 0.5000 0.5000 0.2476
In2 0.5000 0.5000 0.5000
In3 0.5000 0.5000 0.7524
Hg1 0.5000 0.5000 0.0000

Formation energy from the elements ... -467.6 meV/atom
Energy above the lowest structure with this stoichiometry ... 0.00 eV per formula unit
Space-group type ... No. 123

# 10
DFT (PBE) results for crystalline CeSm6Y2Ho at its relaxed geometry.

a = 6.6923 Å, b = 6.6923 Å, c = 8.8500 Å
α = 102.79°, β = 102.79°, γ = 62.49°
Positions (direct):
Ce1 0.0000 0.0000 0.0000
Sm1 0.0939 0.5668 0.2015
Sm2 0.1265 0.1265 0.4171
Sm3 0.4332 0.9061 0.7985
Sm4 0.5668 0.0939 0.2015
Sm5 0.8735 0.8735 0.5829
Sm6 0.9061 0.4332 0.7985
Y1 0.4077 0.4077 0.8309
Y2 0.5923 0.5923 0.1691
Ho1 0.5000 0.5000 0.5000

Formation energy from the elements ... 248.6 meV/atom
Space-group type ... No. 12

# 11
DFT (PBE) results for crystalline Ce4Rh at its relaxed geometry.

a = 5.4564 Å, b = 5.4564 Å, c = 5.4564 Å
α = 90.00°, β = 90.00°, γ = 90.00°
Positions (direct):
Ce1 0.0000 0.0000 0.0000
Ce2 0.0000 0.5000 0.5000
Ce3 0.5000 0.0000 0.5000
Ce4 0.5000 0.5000 0.0000
Rh1 0.5000 0.5000 0.5000

Formation energy from the elements ... 12.3 meV/atom
Energy above the lowest structure with this stoichiometry ... 1.09 eV per formula unit
Space-group type ... No. 221

# 12
DFT (PBE) results for crystalline K3PmSc2Se6 at its relaxed geometry.

a = 7.1344 Å, b = 7.1344 Å, c = 8.0159 Å
α = 98.57°, β = 98.57°, γ = 120.01°
Positions (direct):
K1 0.0000 0.0000 0.0000
K2 0.3369 0.6631 0.0000
K3 0.6631 0.3369 0.0000
Pm1 0.5000 0.5000 0.5000
Sc1 0.1671 0.8329 0.5000
Sc2 0.8329 0.1671 0.5000
Se1 0.0817 0.4331 0.3000
Se2 0.2150 0.2150 0.6992
Se3 0.4331 0.0817 0.3000
Se4 0.5669 0.9183 0.7000
Se5 0.7850 0.7850 0.3008
Se6 0.9183 0.5669 0.7000

Raw formation energy ... -1.656 eV/atom
Space-group type ... No. 12

# 13
DFT (PBE) results for crystalline LiHoErZn at its relaxed geometry.

a = 5.0667 Å, b = 5.0667 Å, c = 5.0667 Å
α = 60.00°, β = 60.00°, γ = 60.00°
Positions (direct):
Li1 0.0000 0.0000 0.0000
Ho1 0.7500 0.7500 0.7500
Er1 0.2500 0.2500 0.2500
Zn1 0.5000 0.5000 0.5000

Formation energy from the elements ... -116.4 meV/atom
Space-group type ... No. 216

# 14
DFT (PBE) results for crystalline Pm2H2SeBr at its relaxed geometry.

a = 3.9464 Å, b = 3.9464 Å, c = 8.5857 Å
α = 90.00°, β = 90.00°, γ = 120.00°
Positions (direct):
Pm1 0.3333 0.6667 0.2195
Pm2 0.6667 0.3333 0.7805
H1 0.3333 0.6667 0.7479
H2 0.6667 0.3333 0.2521
Se1 0.0000 0.0000 0.0000
Br1 0.0000 0.0000 0.5000

Total DFT energy (no corrections) ... -4.7843 eV per atom
Space-group type ... No. 164

# 15
DFT (PBE) results for crystalline Cs3Ga4Ge4 at its relaxed geometry.

a = 4.2850 Å, b = 6.3031 Å, c = 13.3352 Å
α = 96.44°, β = 99.21°, γ = 90.09°
Positions (direct):
Cs1 0.0000 0.0000 0.0000
Cs2 0.3492 0.9254 0.6978
Cs3 0.6508 0.0746 0.3022
Ga1 0.0942 0.5298 0.1881
Ga2 0.2553 0.3120 0.5151
Ga3 0.7447 0.6880 0.4849
Ga4 0.9058 0.4702 0.8119
Ge1 0.1921 0.5809 0.3795
Ge2 0.4525 0.4691 0.9050
Ge3 0.5475 0.5309 0.0950
Ge4 0.8079 0.4191 0.6205

Formation energy from the elements ... -106.5 meV/atom
Space-group type ... No. 2